Compound: Tm4CoBi3
Source: Alexandria via LeMat-Bulk
Functional: GGA-PBE
Structure: optimized geometry

The calculation puts the density of states at the Fermi level at 0.341 states/eV per cell. The value obtained for the energy of formation from the pure elements is -238.1 meV/atom. Its total energy is -77.080 eV/cell.

It has space group Pmn2_1 (No. 31), with a = 9.964 Å, b = 8.919 Å, c = 6.166 Å, α = 90.00°, β = 90.00° and γ = 90.00°. The inequivalent atoms are Tm at (0.000, 0.123, 0.000), Tm at (0.000, 0.825, 0.652), Tm at (0.226, 0.685, 0.012), Co at (0.000, 0.831, 0.090), Bi at (0.000, 0.144, 0.495) and Bi at (0.249, 0.335, 0.005).



Compound: Tm5CoBi2
Source: Alexandria via LeMat-Bulk
Functional: GGA-PBE
Structure: optimized geometry

The calculation puts the density of states at the Fermi level at 7.010 states/eV per cell. The value obtained for the energy of formation from the pure elements is -523.6 meV/atom. Its total energy is -82.828 eV/cell.

It has space group Pbam (No. 55), with a = 7.993 Å, b = 12.284 Å, c = 4.391 Å, α = 90.00°, β = 90.00° and γ = 90.00°. The inequivalent atoms are Tm at (0.000, 0.000, 0.000), Tm at (0.137, 0.312, 0.000), Tm at (0.175, 0.561, 0.500), Co at (0.000, 0.500, 0.000) and Bi at (0.066, 0.825, 0.500).



Compound: Tm12Co5Bi
Source: Alexandria via LeMat-Bulk
Functional: GGA-PBE
Structure: optimized geometry

The calculation puts the density of states at the Fermi level at 24.441 states/eV per cell. The value obtained for the energy of formation from the pure elements is -317.6 meV/atom. Its total energy is -197.571 eV/cell.

It has space group Immm (No. 71), with a = 9.271 Å, b = 9.296 Å, c = 9.792 Å, α = 90.00°, β = 90.00° and γ = 90.00°. The inequivalent atoms are Tm at (0.000, 0.195, 0.209), Tm at (0.192, 0.500, 0.189), Tm at (0.214, 0.317, 0.500), Co at (0.000, 0.000, 0.000), Co at (0.000, 0.376, 0.000), Co at (0.000, 0.500, 0.388) and Bi at (0.000, 0.000, 0.500).